1.
# CdCu2S

CdCu2S after structural relaxation (PBE-GGA, Alexandria via LeMat-Bulk).

Results
The calculation puts the energy at -3.29 eV per atom. The symmetry is I-42d, No. 122. The value obtained for the density of states at the Fermi level is 0.00 states/eV/f.u. As for the formation energy without anion corrections: 0.07 eV/f.u. The calculated density comes out at 5.05 g/cm³.

abc: 5.3928 5.3928 7.2287
angles: 68.10 68.10 90.00
Sites, in units of the cell vectors:
S 0.5000 0.5000 0.0000
S 0.2500 0.7500 0.5000
Cu 0.5111 0.1250 0.2500
Cu 0.2389 0.6250 0.2500
Cu 0.3750 0.4889 0.7500
Cu 0.8750 0.7611 0.7500
Cd 0.0000 0.0000 0.0000
Cd 0.7500 0.2500 0.5000



2.
# CaLa2Rh

CaLa2Rh after structural relaxation (PBE-GGA, Alexandria via LeMat-Bulk).

Results
The calculation puts the energy at -5.13 eV per atom. The symmetry is P4/mmm, No. 123. The formation energy is -0.326 eV/atom. For the energy above the most stable polymorph in this dataset, the calculation gives 0.079 eV/atom. The value obtained for the density of states at the Fermi level is 5.53 states/eV/f.u. The calculated density comes out at 5.36 g/cm³.

abc: 3.6686 3.6686 9.6787
angles: 90.00 90.00 90.00
Sites, in units of the cell vectors:
Ca 0.5000 0.5000 0.7500
Rh 0.5000 0.5000 0.2500
La 0.0000 0.0000 0.0794
La 0.0000 0.0000 0.4206



3.
# Si3Br

Si3Br after structural relaxation (PBE-GGA, Alexandria via LeMat-Bulk).

Results
The calculation puts the energy at -3.71 eV per atom. The symmetry is Fm-3m, No. 225. For the energy above the most stable polymorph in this dataset, the calculation gives 0.513 eV/atom. The value obtained for the density of states at the Fermi level is 2.84 states/eV/f.u. As for the formation energy without anion corrections: 3.09 eV/f.u. The calculated density comes out at 3.80 g/cm³.

abc: 4.6643 4.6643 4.6643
angles: 60.00 60.00 60.00
Sites, in units of the cell vectors:
Br 0.0000 0.0000 0.0000
Si 0.7500 0.7500 0.7500
Si 0.5000 0.5000 0.5000
Si 0.2500 0.2500 0.2500



4.
# LiSb2W

LiSb2W after structural relaxation (PBE-GGA, Alexandria via LeMat-Bulk).

Results
The calculation puts the energy at -5.68 eV per atom. The symmetry is R-3m, No. 166. For the energy above the most stable polymorph in this dataset, the calculation gives 0.008 eV/atom. The value obtained for the density of states at the Fermi level is 3.88 states/eV/f.u. As for the formation energy without anion corrections: 0.37 eV/f.u. The calculated density comes out at 8.44 g/cm³.

abc: 8.6748 8.6748 8.6748
angles: 22.72 22.72 22.72
Sites, in units of the cell vectors:
Li 0.7500 0.7500 0.7500
Sb 0.9938 0.9938 0.9938
Sb 0.5062 0.5062 0.5062
W 0.2500 0.2500 0.2500



5.
# YTh2S3

YTh2S3 after structural relaxation (PBE-GGA, Alexandria via LeMat-Bulk).

Results
The calculation puts the energy at -7.50 eV per atom. The symmetry is I4/mmm, No. 139. The value obtained for the density of states at the Fermi level is 3.65 states/eV/f.u. As for the formation energy without anion corrections: -11.30 eV/f.u. The calculated density comes out at 7.89 g/cm³.

abc: 4.0112 4.0112 8.9501
angles: 102.94 102.95 90.02
Sites, in units of the cell vectors:
Y 0.4340 0.4360 0.8740
Th 0.1028 0.1040 0.2108
Th 0.7659 0.7671 0.5371
S 0.9340 0.9360 0.8740
S 0.2721 0.2733 0.5495
S 0.5966 0.5977 0.1984



6.
# U4Bi

U4Bi after structural relaxation (PBE-GGA, Alexandria via LeMat-Bulk).

Results
The calculation puts the energy at -7.89 eV per atom. The symmetry is Pm-3m, No. 221. The formation energy is 1.920 eV/atom. For the energy above the most stable polymorph in this dataset, the calculation gives 1.838 eV/atom. The value obtained for the density of states at the Fermi level is 34.45 states/eV/f.u. The calculated density comes out at 9.81 g/cm³.

abc: 5.8149 5.8149 5.8149
angles: 90.00 90.00 90.00
Each line ends with the local moment (μB).
Sites, in units of the cell vectors:
U 0.0000 0.0000 0.0000  3.28
U 0.5000 0.0000 0.5000  3.06
U 0.0000 0.5000 0.5000  3.06
U 0.5000 0.5000 0.0000  3.06
Bi 0.5000 0.5000 0.5000  0.03



7.
# RbSnB

RbSnB after structural relaxation (PBE-GGA, Alexandria via LeMat-Bulk).

Results
The calculation puts the energy at -3.69 eV per atom. The symmetry is P-1, No. 2. The formation energy is 0.197 eV/atom. The value obtained for the density of states at the Fermi level is 1.36 states/eV/f.u. The calculated density comes out at 4.35 g/cm³.

abc: 3.2342 7.0332 7.3986
angles: 92.52 77.22 90.00
Sites, in units of the cell vectors:
B 0.5457 0.4956 0.6799
B 0.0212 0.4887 0.7287
Sn 0.6990 0.6272 0.3729
Sn 0.8677 0.3571 0.0357
Rb 0.1588 0.1361 0.4518
Rb 0.4076 0.8481 0.9569



8.
# PuNi5B2

PuNi5B2 after structural relaxation (PBE-GGA, Alexandria via LeMat-Bulk).

Results
The calculation puts the energy at -7.39 eV per atom. The symmetry is Immm, No. 71. The formation energy is -0.311 eV/atom. The value obtained for the density of states at the Fermi level is 13.96 states/eV/f.u. The calculated density comes out at 10.27 g/cm³.

abc: 3.4437 5.5224 5.5224
angles: 68.31 71.83 71.83
Each line ends with the local moment (μB).
Sites, in units of the cell vectors:
Pu 0.0000 0.0000 0.0000  4.87
Ni 0.0000 0.5000 0.5000  0.04
Ni 0.6590 0.5326 0.1494  0.00
Ni 0.3410 0.4674 0.8506  0.00
Ni 0.3410 0.8506 0.4674  0.00
Ni 0.6590 0.1494 0.5326  0.00
B 0.7620 0.7380 0.7380  -0.01
B 0.2380 0.2620 0.2620  -0.01



9.
# Th2NbGe3

Th2NbGe3 after structural relaxation (PBE-GGA, Alexandria via LeMat-Bulk).

Results
The calculation puts the energy at -6.92 eV per atom. The symmetry is Immm, No. 71. The formation energy is -0.459 eV/atom. The value obtained for the density of states at the Fermi level is 4.25 states/eV/f.u. The calculated density comes out at 8.74 g/cm³.

abc: 5.8479 8.2512 7.0735
angles: 106.95 114.42 90.00
Sites, in units of the cell vectors:
Th 0.6738 0.5869 0.3476
Th 0.6738 0.0869 0.3476
Th 0.3262 0.9131 0.6524
Th 0.3262 0.4131 0.6524
Nb 0.9998 0.7500 0.0000
Nb 0.0002 0.2500 0.0000
Ge 0.4997 0.2500 0.0000
Ge 0.5003 0.7500 0.0000
Ge 0.1449 0.0724 0.2897
Ge 0.8552 0.4276 0.7103
Ge 0.1448 0.5724 0.2897
Ge 0.8551 0.9276 0.7103



10.
# MoPt2Pb

MoPt2Pb after structural relaxation (PBE-GGA, Alexandria via LeMat-Bulk).

Results
The calculation puts the energy at -6.34 eV per atom. The symmetry is I-42d, No. 122. The formation energy is 0.318 eV/atom. The value obtained for the density of states at the Fermi level is 3.43 states/eV/f.u. The calculated density comes out at 14.80 g/cm³.

abc: 7.4184 7.4184 5.9587
angles: 51.50 51.50 90.00
Sites, in units of the cell vectors:
Pb 0.0000 0.0000 0.0000
Pb 0.7500 0.2500 0.5000
Mo 0.5000 0.5000 0.0000
Mo 0.2500 0.7500 0.5000
Pt 0.6021 0.1250 0.2500
Pt 0.1479 0.6250 0.2500
Pt 0.3750 0.3979 0.7500
Pt 0.8750 0.8521 0.7500



11.
# Tl5Hg12Bi3

Tl5Hg12Bi3 after structural relaxation (PBE-GGA, Alexandria via LeMat-Bulk).

Results
The calculation puts the energy at -1.23 eV per atom. The symmetry is Ia-3d, No. 230. The formation energy is 0.125 eV/atom. The value obtained for the density of states at the Fermi level is 11.19 states/eV/f.u. The calculated density comes out at 9.39 g/cm³.

abc: 15.5058 15.5058 15.5058
angles: 109.47 109.47 109.47
Sites, in units of the cell vectors:
Bi 0.7500 0.3750 0.1250
Bi 0.8750 0.7500 0.1250
Bi 0.3750 0.7500 0.6250
Bi 0.2500 0.1250 0.3750
Bi 0.8750 0.1250 0.2500
Bi 0.3750 0.6250 0.2500
Bi 0.6250 0.3750 0.7500
Bi 0.1250 0.8750 0.7500
Bi 0.7500 0.8750 0.6250
Bi 0.6250 0.2500 0.3750
Bi 0.1250 0.2500 0.8750
Bi 0.2500 0.6250 0.8750
Tl 0.1250 0.3750 0.2500
Tl 0.0000 0.5000 0.0000
Tl 0.0000 0.0000 0.0000
Tl 0.3750 0.2500 0.1250
Tl 0.5000 0.0000 0.5000
Tl 0.5000 0.5000 0.0000
Tl 0.1250 0.7500 0.3750
Tl 0.7500 0.1250 0.8750
Tl 0.7500 0.6250 0.3750
Tl 0.3750 0.1250 0.7500
Tl 0.6250 0.8750 0.2500
Tl 0.5000 0.5000 0.5000
Tl 0.5000 0.0000 0.0000
Tl 0.0000 0.0000 0.5000
Tl 0.2500 0.3750 0.6250
Tl 0.2500 0.8750 0.1250
Tl 0.0000 0.5000 0.5000
Tl 0.8750 0.2500 0.6250
Tl 0.6250 0.7500 0.8750
Tl 0.8750 0.6250 0.7500
Hg 0.7329 0.1419 0.0660
Hg 0.3331 0.5660 0.4241
Hg 0.9340 0.3581 0.2671
Hg 0.5660 0.2329 0.1419
Hg 0.5911 0.7329 0.6669
Hg 0.9340 0.5759 0.1669
Hg 0.3331 0.7671 0.4089
Hg 0.0759 0.9089 0.1419
Hg 0.5759 0.9340 0.6669
Hg 0.7329 0.5911 0.1669
Hg 0.7671 0.4340 0.3581
Hg 0.8331 0.9241 0.0660
Hg 0.1419 0.7329 0.5660
Hg 0.3581 0.4241 0.0911
Hg 0.0911 0.9241 0.3581
Hg 0.4089 0.1419 0.5759
Hg 0.0911 0.1669 0.2329
Hg 0.4340 0.6669 0.0759
Hg 0.8331 0.9089 0.2671
Hg 0.1419 0.4089 0.0759
Hg 0.3581 0.9340 0.7671
Hg 0.5759 0.6419 0.4089
Hg 0.9241 0.8331 0.5660
Hg 0.7671 0.3331 0.9089
Hg 0.4241 0.3581 0.5911
Hg 0.0759 0.1669 0.4340
Hg 0.2329 0.6669 0.0911
Hg 0.1669 0.0911 0.7329
Hg 0.6419 0.0660 0.2329
Hg 0.8581 0.5911 0.9241
Hg 0.5660 0.3331 0.9241
Hg 0.5911 0.8581 0.4241
Hg 0.9089 0.8331 0.7671
Hg 0.9089 0.0759 0.6419
Hg 0.8581 0.2671 0.4340
Hg 0.1669 0.0759 0.9340
Hg 0.6419 0.5759 0.9089
Hg 0.4241 0.0660 0.3331
Hg 0.2671 0.4089 0.8331
Hg 0.2329 0.5660 0.6419
Hg 0.9241 0.0911 0.8581
Hg 0.6669 0.2329 0.5911
Hg 0.4340 0.7671 0.8581
Hg 0.0660 0.4241 0.8331
Hg 0.4089 0.2671 0.3331
Hg 0.0660 0.6419 0.7329
Hg 0.6669 0.4340 0.5759
Hg 0.2671 0.8581 0.9340